Record 1
# Pm2Sm2Dy2Er

Pm2Sm2Dy2Er after structural relaxation (PBE, Alexandria via LeMat-Bulk). Values from VASP.

Cell and atoms, written as Quantum ESPRESSO input:
```
&SYSTEM
  ibrav = 0, nat = 7, ntyp = 4
/
ATOMIC_SPECIES
Pm 145.00 Pm.upf
Sm 150.36 Sm.upf
Dy 162.50 Dy.upf
Er 167.26 Er.upf
CELL_PARAMETERS angstrom
-0.4684 3.7174 -4.3031
-5.1432 1.8917 -1.5887
-1.2193 8.1036 3.3506
ATOMIC_POSITIONS crystal
Pm 0.1394 0.1394 0.5818
Pm 0.8606 0.8606 0.4182
Sm 0.7140 0.7140 0.8579
Sm 0.2860 0.2860 0.1421
Dy 0.5712 0.5712 0.2863
Dy 0.4288 0.4288 0.7137
Er 0.0000 0.0000 0.0000
```

---

Record 2
# Mn4BeRu

Mn4BeRu after structural relaxation (PBE, Alexandria via LeMat-Bulk). Values from VASP.

Cell and atoms, written as Quantum ESPRESSO input:
```
&SYSTEM
  ibrav = 0, nat = 6, ntyp = 3
/
ATOMIC_SPECIES
Mn 54.94 Mn.upf
Be 9.01 Be.upf
Ru 101.07 Ru.upf
CELL_PARAMETERS angstrom
1.2658 1.6244 4.1007
-2.7846 2.8238 2.3084
-2.1149 -1.4637 3.8001
ATOMIC_POSITIONS crystal
Mn 0.8808 0.3730 0.3730
Mn 0.3730 0.3730 0.8808
Mn 0.3730 0.8808 0.3730
Mn 0.3730 0.3730 0.3730
Be 0.0000 0.0000 0.0000
Ru 0.7500 0.7500 0.7500
```

---

Record 3
# LiAl2As

LiAl2As after structural relaxation (PBE, Alexandria via LeMat-Bulk). Values from VASP.

Cell and atoms, written as Quantum ESPRESSO input:
```
&SYSTEM
  ibrav = 0, nat = 4, ntyp = 3
/
ATOMIC_SPECIES
Al 26.98 Al.upf
As 74.92 As.upf
Li 6.94 Li.upf
CELL_PARAMETERS angstrom
-1.0617 -2.7279 -1.9371
1.8896 -2.1661 2.0147
-4.3907 -0.6892 3.3770
ATOMIC_POSITIONS crystal
Al 0.0000 0.0000 0.0102
Al 0.5000 0.5000 0.2567
As 0.0000 0.0000 0.4851
Li 0.5000 0.5000 0.7480
```

---

Record 4
! KBaCa2 | Alexandria via LeMat-Bulk | PBE | optimized geometry; values from VASP
! distance to the lowest polymorph of the same formula = 22.4 kJ per mole of atoms
&SYSTEM
  ibrav = 0, nat = 8, ntyp = 3
/
ATOMIC_SPECIES
K 39.10 K.upf
Ca 40.08 Ca.upf
Ba 137.33 Ba.upf
CELL_PARAMETERS angstrom
-3.4437 9.1085 3.9142
-9.5467 -1.9294 -3.9094
-7.4931 1.7816 3.3315
ATOMIC_POSITIONS crystal
K 0.5000 0.5000 0.0000
K 0.2500 0.7500 0.5000
Ca 0.6121 0.1250 0.2500
Ca 0.1379 0.6250 0.2500
Ca 0.3750 0.3879 0.7500
Ca 0.8750 0.8621 0.7500
Ba 0.0000 0.0000 0.0000
Ba 0.7500 0.2500 0.5000

---

Record 5
# CeDyTmGa

CeDyTmGa after structural relaxation (PBE, Alexandria via LeMat-Bulk). Values from VASP.

Cell and atoms, written as Quantum ESPRESSO input:
```
&SYSTEM
  ibrav = 0, nat = 4, ntyp = 4
/
ATOMIC_SPECIES
Tm 168.93 Tm.upf
Ga 69.72 Ga.upf
Ce 140.12 Ce.upf
Dy 162.50 Dy.upf
CELL_PARAMETERS angstrom
-1.5306 -4.9996 -0.7317
2.3355 -3.8963 2.6903
-2.6427 -2.5352 3.8030
ATOMIC_POSITIONS crystal
Tm 0.2500 0.2500 0.2500
Ga 0.7500 0.7500 0.7500
Ce 0.5000 0.5000 0.5000
Dy 0.0000 0.0000 0.0000
```

---

Record 6
! RuBrO2 | Alexandria via LeMat-Bulk | PBE | optimized geometry; values from VASP
! distance to the lowest polymorph of the same formula = 125.8 kJ per mole of atoms
&SYSTEM
  ibrav = 0, nat = 4, ntyp = 3
/
ATOMIC_SPECIES
Ru 101.07 Ru.upf
O 16.00 O.upf
Br 79.90 Br.upf
CELL_PARAMETERS angstrom
0.0000 2.8610 2.8610
2.8610 0.0000 2.8610
2.8610 2.8610 0.0000
ATOMIC_POSITIONS crystal
Ru 0.5000 0.5000 0.5000
O 0.2500 0.2500 0.2500
O 0.7500 0.7500 0.7500
Br 0.0000 0.0000 0.0000

---

Record 7
# CaPrCoN2

CaPrCoN2 after structural relaxation (PBE, Alexandria via LeMat-Bulk). Values from VASP.

Cell and atoms, written as Quantum ESPRESSO input:
```
&SYSTEM
  ibrav = 0, nat = 10, ntyp = 4
/
ATOMIC_SPECIES
Ca 40.08 Ca.upf
Pr 140.91 Pr.upf
Co 58.93 Co.upf
N 14.01 N.upf
CELL_PARAMETERS angstrom
5.4255 0.0000 0.0000
0.0000 4.9821 0.6099
0.0000 -0.8294 6.7499
ATOMIC_POSITIONS crystal
Ca 0.0002 0.5000 0.7500
Ca 0.9998 0.5000 0.2500
Pr 0.4999 0.0000 0.2500
Pr 0.5001 0.0000 0.7500
Co 0.0000 0.0000 0.0000
Co 0.0000 0.0000 0.5000
N 0.7505 0.7648 0.0000
N 0.7505 0.2352 0.5000
N 0.2495 0.7648 0.5000
N 0.2495 0.2352 0.0000
```

---

Record 8
! Dy2ErPu | Alexandria via LeMat-Bulk | PBE | optimized geometry; values from VASP
! distance to the lowest polymorph of the same formula = 9.6 kJ per mole of atoms
&SYSTEM
  ibrav = 0, nat = 4, ntyp = 3
/
ATOMIC_SPECIES
Er 167.26 Er.upf
Dy 162.50 Dy.upf
Pu 244.00 Pu.upf
CELL_PARAMETERS angstrom
5.5576 0.0000 0.0000
2.7788 4.8130 0.0000
2.7788 1.6043 4.5377
ATOMIC_POSITIONS crystal
Er 0.5000 0.5000 0.5000
Dy 0.2500 0.2500 0.2500
Dy 0.7500 0.7500 0.7500
Pu 0.0000 0.0000 0.0000

---

| no. | total magnetic moment (μB per formula unit) | raw total energy (eV for the cell shown) |
| --- | --- | --- |
| 1 | 0.00 | -31.77 |
| 2 | 0.00 | -48.65 |
| 3 | 0.00 | -14.55 |
| 4 | 0.00 | -11.45 |
| 5 | 0.47 | -18.39 |
| 6 | 1.53 | -17.19 |
| 7 | 2.00 | -67.29 |
| 8 | 7.24 | -27.34 |